VASP calculation (PBE-GGA) on crystalline Sc2IrI at its relaxed geometry.

Computed properties:
Energy above the lowest structure with this stoichiometry (kJ/mol of formula units): 158.6
Magnetization (μB/cell): 0.000
Uncorrected formation energy (meV/atom): -306
SG: I-42d, No. 122

Cell lengths 6.444, 6.444, 6.444 Å; angles 110.77, 110.77, 106.91 degrees
Fractional positions:
Sc 0.075 0.625 0.950
Sc 0.375 0.325 0.450
Sc 0.675 0.125 0.050
Sc 0.875 0.925 0.550
Ir 0.000 0.000 0.000
Ir 0.750 0.250 0.500
I 0.250 0.750 0.500
I 0.500 0.500 0.000